Entry from Alexandria: an optimized crystal structure of MoOs2Rh (PBE).

Summary:
Crystal system: monoclinic
ΔE_f: 0.0324 eV/atom
ΔE to the lowest computed polymorph: 0.081 eV per atom
Mass density: 16.375 g/cm³
N(E_F): 0.9121 states/eV/atom
Total magnetization: 0.0000 μB/atom

a b c (Å): 9.1333 2.7497 4.7536
angles (deg): 90.00 100.21 90.00
Closest atoms and distances in Å follow each position.
Space group Cm (No. 8)
Asymmetric unit:
Mo: 0.0000 0.0000 0.0000 (multiplicity 2)  7 Os 2.70-2.81, 3 Rh 2.71-2.76, 2 Mo 2.75
Os: 0.0066 0.5000 0.5131 (multiplicity 2)  5 Os 2.66-2.75, 4 Mo 2.70-2.79, 3 Rh 2.78-2.80
Os: 0.2495 0.0000 0.7286 (multiplicity 2)  5 Os 2.66-2.75, 4 Rh 2.69-2.80, 3 Mo 2.78-2.81
Rh: 0.2532 0.5000 0.2431 (multiplicity 2)  7 Os 2.69-2.80, 3 Mo 2.71-2.76, 2 Rh 2.75